Density functional theory data (PBE) for crystalline MgIn4Ni2 at its relaxed geometry.

Summary:
DFT formation energy   -86 meV per atom
DOS(E_F)   10.51 states/eV/cell

Unit cell a=4.3596 b=4.3596 c=27.2702 alpha=90.00 beta=90.00 gamma=120.00
Space group R-3m (No. 166, hexagonal axes)
One atom of each set of equivalent atoms:
1 Mg 0.0000 0.0000 0.0000 [3 per cell]
2 In 0.0000 0.0000 0.1993 [6 per cell]
3 In 0.0000 0.0000 0.3993 [6 per cell]
4 Ni 0.0000 0.0000 0.0982 [6 per cell]